# K2TaP

A relaxed K2TaP crystal (GGA-PBE, Alexandria).

## Properties
* energy of formation from the pure elements: 0.8642 eV per atom
* magnetic moment: 0.20 μB/atom
* total DFT energy (no corrections): -32.002 eV per cell

```
data_K2TaP
_cell_length_a 5.406
_cell_length_b 11.572
_cell_length_c 3.077
_cell_angle_alpha 90.00
_cell_angle_beta 90.00
_cell_angle_gamma 90.00
_symmetry_space_group_name_H-M 'C m m m'
_symmetry_Int_Tables_number 65
_symmetry_space_group_name_Hall '-C 2 2'
loop_
_atom_site_label
_atom_site_type_symbol
_atom_site_fract_x
_atom_site_fract_y
_atom_site_fract_z
K1 K 0.250 0.250 0.000
Ta1 Ta 0.000 0.000 0.500
P1 P 0.000 0.500 0.500
```